## NdTl3Br7 (PBE)

Data for NdTl3Br7 after structural relaxation.

Results
As for the uncorrected energy: -3.247 eV per atom.

```
11
Lattice="7.166 0.212 3.828 -1.441 7.022 3.828 0.160 0.203 8.642" Properties=species:S:1:pos:R:3 pbc="T T T"
Br 3.674 4.644 8.595
Tl 5.400 1.853 8.079
Br 6.466 2.692 11.216
Tl 0.561 5.681 8.079
Nd 5.405 6.831 7.668
Br 1.134 6.912 11.216
Br 4.342 1.200 4.847
Br 0.169 4.501 4.847
Tl 3.093 3.908 11.800
Br 4.809 6.077 13.647
Br 0.850 1.074 2.267
```


## Ho2PuCd (PBE)

Data for Ho2PuCd after structural relaxation.

Results
As for the uncorrected energy: -6.029 eV per atom. The calculation puts the formation energy at 28 kJ/mol of formula units. The polymorph energy (0 for the lowest one) comes out at 0.1339 eV per atom.

```
4
Lattice="5.380 0.000 0.000 2.690 4.659 0.000 2.690 1.553 4.393" Properties=species:S:1:pos:R:3 pbc="T T T"
Ho 2.690 1.553 1.098
Ho 8.070 4.659 3.295
Cd 5.380 3.106 2.197
Pu 0.000 0.000 0.000
```


## Be2ReSe (PBE)

Data for Be2ReSe after structural relaxation.

Results
As for the uncorrected energy: -5.382 eV per atom.

```
4
Lattice="4.392 -0.007 -0.015 3.213 2.995 -0.015 -0.108 -0.042 4.266" Properties=species:S:1:pos:R:3 pbc="T T T"
Se 1.874 0.736 1.059
Be 0.222 0.087 3.755
Be 3.419 1.343 2.630
Re 5.623 2.209 3.178
```


## Ca2AlCu (PBE)

Data for Ca2AlCu after structural relaxation.

Results
As for the uncorrected energy: -3.126 eV per atom. The calculation puts the formation energy at -64 kJ/mol of formula units.

```
4
Lattice="-3.366 2.687 -0.097 -3.863 -1.431 -1.263 -3.978 -1.299 6.338" Properties=species:S:1:pos:R:3 pbc="T T T"
Cu -5.771 -0.144 4.897
Ca -4.633 1.103 -0.037
Ca -7.761 0.735 2.637
Al -7.232 -2.002 4.120
```


Repeat the first record exactly.
## NdTl3Br7 (PBE)

Data for NdTl3Br7 after structural relaxation.

Results
As for the uncorrected energy: -3.247 eV per atom.

```
11
Lattice="7.166 0.212 3.828 -1.441 7.022 3.828 0.160 0.203 8.642" Properties=species:S:1:pos:R:3 pbc="T T T"
Br 3.674 4.644 8.595
Tl 5.400 1.853 8.079
Br 6.466 2.692 11.216
Tl 0.561 5.681 8.079
Nd 5.405 6.831 7.668
Br 1.134 6.912 11.216
Br 4.342 1.200 4.847
Br 0.169 4.501 4.847
Tl 3.093 3.908 11.800
Br 4.809 6.077 13.647
Br 0.850 1.074 2.267
```